# 1
A plane-wave DFT calculation with PBE was carried out for crystalline Sr2BeAs at its relaxed geometry.

- Mass density: 3.935 g/cm³
- Crystal system: cubic
- Space group: No. 225
- E_tot: -0.1149 hartree per atom
- Offset from the most stable computed form: 1.05 eV/f.u.

Cell lengths 5.3678, 5.3678, 5.3678 Å; angles 60.00, 60.00, 60.00 degrees
Positions (direct):
Sr 0.2500 0.2500 0.2500
Sr 0.7500 0.7500 0.7500
Be 0.0000 0.0000 0.0000
As 0.5000 0.5000 0.5000

# 2
A plane-wave DFT calculation with PBE was carried out for crystalline Sr4BeAs4 at its relaxed geometry.

- Mass density: 4.296 g/cm³
- Crystal system: tetragonal
- Space group: No. 137
- E_tot: -0.1521 hartree per atom

Cell lengths 8.9010, 8.9010, 6.4313 Å; angles 90.00, 90.00, 90.00 degrees
Positions (direct):
Sr 0.0148 0.2500 0.0565
Sr 0.2500 0.0148 0.5565
Sr 0.2500 0.4852 0.5565
Sr 0.4852 0.2500 0.0565
Sr 0.5148 0.7500 0.9435
Sr 0.7500 0.5148 0.4435
Sr 0.7500 0.9852 0.4435
Sr 0.9852 0.7500 0.9435
Be 0.2500 0.7500 0.2500
Be 0.7500 0.2500 0.7500
As 0.0247 0.7500 0.4425
As 0.2500 0.5247 0.0575
As 0.2500 0.9753 0.0575
As 0.4753 0.7500 0.4425
As 0.5247 0.2500 0.5575
As 0.7500 0.0247 0.9425
As 0.7500 0.4753 0.9425
As 0.9753 0.2500 0.5575

# 3
A plane-wave DFT calculation with PBE was carried out for crystalline SrBeAs2 at its relaxed geometry.

- Mass density: 4.291 g/cm³
- Crystal system: orthorhombic
- Space group: No. 65
- E_tot: -0.1401 hartree per atom

Cell lengths 3.9780, 3.9780, 6.9493 Å; angles 90.00, 90.00, 119.84 degrees
Positions (direct):
Sr 0.0000 0.0000 0.0000
Be 0.0000 0.0000 0.5000
As 0.5000 0.5000 0.3173
As 0.5000 0.5000 0.6827

# 4
A plane-wave DFT calculation with PBE was carried out for crystalline SrBeAs2 at its relaxed geometry.

- Mass density: 4.226 g/cm³
- Crystal system: orthorhombic
- Space group: No. 47
- E_tot: -0.1507 hartree per atom

Cell lengths 3.7076, 4.5080, 5.7948 Å; angles 90.00, 90.00, 90.00 degrees
Positions (direct):
Sr 0.0000 0.0000 0.0000
Be 0.0000 0.5000 0.5000
As 0.5000 0.5000 0.2624
As 0.5000 0.5000 0.7376

# 5
A plane-wave DFT calculation with PBE was carried out for crystalline SrBeAs2 at its relaxed geometry.

- Mass density: 3.943 g/cm³
- Crystal system: monoclinic
- Space group: No. 8
- E_tot: -0.1473 hartree per atom

Cell lengths 6.0567, 6.0567, 4.8278 Å; angles 90.32, 90.32, 35.88 degrees
Positions (direct):
Sr 0.0000 0.0000 0.0000
Be 0.7810 0.7810 0.4984
As 0.1721 0.1721 0.5025
As 0.4072 0.4072 0.4986

# 6
A plane-wave DFT calculation with PBE was carried out for crystalline SrBe3As at its relaxed geometry.

- Mass density: 2.249 g/cm³
- Crystal system: cubic
- Space group: No. 221
- E_tot: -0.0460 hartree per atom
- Offset from the most stable computed form: 7.95 eV/f.u.

Cell lengths 5.1922, 5.1922, 5.1922 Å; angles 90.00, 90.00, 90.00 degrees
Positions (direct):
Sr 0.0000 0.0000 0.0000
Be 0.0000 0.0000 0.5000
Be 0.0000 0.5000 0.0000
Be 0.5000 0.0000 0.0000
As 0.5000 0.5000 0.5000

# 7
A plane-wave DFT calculation with PBE was carried out for crystalline SrBe2As2 at its relaxed geometry.

- Mass density: 4.529 g/cm³
- Crystal system: tetragonal
- Space group: No. 139
- E_tot: -0.1575 hartree per atom

Cell lengths 6.9961, 6.9961, 6.9961 Å; angles 148.41, 148.41, 45.28 degrees
Positions (direct):
Sr 0.0000 0.0000 0.0000
Be 0.2500 0.7500 0.5000
Be 0.7500 0.2500 0.5000
As 0.3545 0.3545 0.0000
As 0.6455 0.6455 0.0000

# 8
A plane-wave DFT calculation with PBE was carried out for crystalline SrBe3As at its relaxed geometry.

- Mass density: 3.288 g/cm³
- Crystal system: cubic
- Space group: No. 221
- E_tot: -0.1045 hartree per atom
- Offset from the most stable computed form: 0.00 eV/f.u.

Cell lengths 4.5748, 4.5748, 4.5748 Å; angles 90.00, 90.00, 90.00 degrees
Positions (direct):
Sr 0.0000 0.0000 0.0000
Be 0.0000 0.5000 0.5000
Be 0.5000 0.0000 0.5000
Be 0.5000 0.5000 0.0000
As 0.5000 0.5000 0.5000

# 9
A plane-wave DFT calculation with PBE was carried out for crystalline SrBeAs2 at its relaxed geometry.

- Mass density: 4.476 g/cm³
- Crystal system: orthorhombic
- Space group: No. 44
- E_tot: -0.1402 hartree per atom

Cell lengths 5.9822, 5.9822, 5.9822 Å; angles 142.73, 134.57, 60.17 degrees
Positions (direct):
Sr 0.0000 0.0000 0.0000
Be 0.7505 0.2505 0.5000
As 0.2636 0.7636 0.5000
As 0.6338 0.6338 0.0000

# 10
A plane-wave DFT calculation with PBE was carried out for crystalline SrBeAs2 at its relaxed geometry.

- Mass density: 4.727 g/cm³
- Crystal system: cubic
- Space group: No. 216
- E_tot: -0.1259 hartree per atom

Cell lengths 4.9658, 4.9658, 4.9658 Å; angles 60.00, 60.00, 60.00 degrees
Positions (direct):
Sr 0.0000 0.0000 0.0000
Be 0.7500 0.7500 0.7500
As 0.2500 0.2500 0.2500
As 0.5000 0.5000 0.5000

# 11
A plane-wave DFT calculation with PBE was carried out for crystalline SrBe2As2 at its relaxed geometry.

- Mass density: 4.692 g/cm³
- Crystal system: tetragonal
- Space group: No. 139
- E_tot: -0.1455 hartree per atom

Cell lengths 5.6535, 5.6535, 5.6535 Å; angles 134.52, 134.52, 66.27 degrees
Positions (direct):
Sr 0.0000 0.0000 0.0000
Be 0.3774 0.3774 0.0000
Be 0.6226 0.6226 0.0000
As 0.2500 0.7500 0.5000
As 0.7500 0.2500 0.5000

# 12
A plane-wave DFT calculation with PBE was carried out for crystalline SrBe4As at its relaxed geometry.

- Mass density: 3.663 g/cm³
- Crystal system: cubic
- Space group: No. 216
- E_tot: -0.1103 hartree per atom

Cell lengths 5.0306, 5.0306, 5.0306 Å; angles 60.00, 60.00, 60.00 degrees
Positions (direct):
Sr 0.0000 0.0000 0.0000
Be 0.3718 0.3718 0.3718
Be 0.3718 0.3718 0.8845
Be 0.3718 0.8845 0.3718
Be 0.8845 0.3718 0.3718
As 0.7500 0.7500 0.7500

# 13
A plane-wave DFT calculation with PBE was carried out for crystalline Sr2BeAs at its relaxed geometry.

- Mass density: 3.980 g/cm³
- Crystal system: tetragonal
- Space group: No. 123
- E_tot: -0.1167 hartree per atom
- Offset from the most stable computed form: 0.86 eV/f.u.

Cell lengths 5.1327, 5.1327, 4.1044 Å; angles 90.00, 90.00, 90.00 degrees
Positions (direct):
Sr 0.0000 0.5000 0.0000
Sr 0.5000 0.0000 0.0000
Be 0.0000 0.0000 0.5000
As 0.5000 0.5000 0.5000

# 14
A plane-wave DFT calculation with PBE was carried out for crystalline Sr2BeAs at its relaxed geometry.

- Mass density: 3.842 g/cm³
- Crystal system: tetragonal
- Space group: No. 119
- E_tot: -0.1089 hartree per atom
- Offset from the most stable computed form: 1.70 eV/f.u.

Cell lengths 6.4429, 6.4429, 6.4429 Å; angles 139.44, 139.44, 58.70 degrees
Positions (direct):
Sr 0.0000 0.0000 0.0000
Sr 0.7500 0.2500 0.5000
Be 0.5000 0.5000 0.0000
As 0.2500 0.7500 0.5000

# 15
A plane-wave DFT calculation with PBE was carried out for crystalline Sr2BeAs at its relaxed geometry.

- Mass density: 3.712 g/cm³
- Crystal system: tetragonal
- Space group: No. 99
- E_tot: -0.1079 hartree per atom
- Offset from the most stable computed form: 1.81 eV/f.u.

Cell lengths 3.6232, 3.6232, 8.8316 Å; angles 90.00, 90.00, 90.00 degrees
Positions (direct):
Sr 0.0000 0.0000 0.0000
Sr 0.5000 0.5000 0.4181
Be 0.5000 0.5000 0.7564
As 0.0000 0.0000 0.6561

# 16
A plane-wave DFT calculation with PBE was carried out for crystalline Sr3BeAs at its relaxed geometry.

- Mass density: 2.742 g/cm³
- Crystal system: cubic
- Space group: No. 221
- E_tot: -0.0994 hartree per atom
- Offset from the most stable computed form: 0.00 eV/f.u.

Cell lengths 5.9439, 5.9439, 5.9439 Å; angles 90.00, 90.00, 90.00 degrees
Positions (direct):
Sr 0.0000 0.0000 0.5000
Sr 0.0000 0.5000 0.0000
Sr 0.5000 0.0000 0.0000
Be 0.5000 0.5000 0.5000
As 0.0000 0.0000 0.0000

# 17
A plane-wave DFT calculation with PBE was carried out for crystalline SrBeAs2 at its relaxed geometry.

- Mass density: 4.782 g/cm³
- Crystal system: tetragonal
- Space group: No. 139
- E_tot: -0.1318 hartree per atom

Cell lengths 5.3908, 5.3908, 5.3908 Å; angles 131.68, 131.68, 70.73 degrees
Positions (direct):
Sr 0.0000 0.0000 0.0000
Be 0.5000 0.5000 0.0000
As 0.2500 0.7500 0.5000
As 0.7500 0.2500 0.5000

# 18
A plane-wave DFT calculation with PBE was carried out for crystalline SrBeAs2 at its relaxed geometry.

- Mass density: 4.211 g/cm³
- Crystal system: monoclinic
- Space group: No. 6
- E_tot: -0.1486 hartree per atom

Cell lengths 4.5032, 4.6322, 4.6591 Å; angles 90.00, 90.02, 90.00 degrees
Positions (direct):
Sr 0.0000 0.0000 0.0000
Be 0.6062 0.5000 0.4981
As 0.0943 0.5000 0.5004
As 0.4925 0.0000 0.4998

# 19
A plane-wave DFT calculation with PBE was carried out for crystalline SrBeAs3 at its relaxed geometry.

- Mass density: 3.028 g/cm³
- Crystal system: cubic
- Space group: No. 221
- E_tot: -0.0876 hartree per atom
- Offset from the most stable computed form: 8.15 eV/f.u.

Cell lengths 5.6070, 5.6070, 5.6070 Å; angles 90.00, 90.00, 90.00 degrees
Positions (direct):
Sr 0.0000 0.0000 0.0000
Be 0.5000 0.5000 0.5000
As 0.0000 0.0000 0.5000
As 0.0000 0.5000 0.0000
As 0.5000 0.0000 0.0000

# 20
A plane-wave DFT calculation with PBE was carried out for crystalline SrYBeAs2 at its relaxed geometry.

- Mass density: 3.001 g/cm³
- Crystal system: tetragonal
- Space group: No. 123
- E_tot: -0.1047 hartree per atom

Cell lengths 5.5136, 5.5136, 6.1038 Å; angles 90.00, 90.00, 90.00 degrees
Positions (direct):
Sr 0.0000 0.0000 0.0000
Y 0.0000 0.0000 0.5000
Be 0.5000 0.5000 0.5000
As 0.0000 0.5000 0.0000
As 0.5000 0.0000 0.0000

# 21
A plane-wave DFT calculation with PBE was carried out for crystalline TaBe2As at its relaxed geometry.

- Mass density: 7.944 g/cm³
- Crystal system: orthorhombic
- Space group: No. 65
- E_tot: -0.2075 hartree per atom

Cell lengths 2.7519, 2.7519, 7.6587 Å; angles 90.00, 90.00, 99.21 degrees
Positions (direct):
Ta 0.0000 0.0000 0.0000
Be 0.5000 0.5000 0.2393
Be 0.5000 0.5000 0.7607
As 0.0000 0.0000 0.5000

# 22
A plane-wave DFT calculation with PBE was carried out for crystalline Ta2BeAs at its relaxed geometry.

- Mass density: 11.714 g/cm³
- Crystal system: cubic
- Space group: No. 216
- E_tot: -0.2769 hartree per atom
- Offset from the most stable computed form: 3.32 eV/f.u.

Cell lengths 4.4710, 4.4710, 4.4710 Å; angles 60.00, 60.00, 60.00 degrees
Positions (direct):
Ta 0.0000 0.0000 0.0000
Ta 0.2500 0.2500 0.2500
Be 0.5000 0.5000 0.5000
As 0.7500 0.7500 0.7500

# 23
A plane-wave DFT calculation with PBE was carried out for crystalline TaBe2As at its relaxed geometry.

- Mass density: 9.011 g/cm³
- Crystal system: tetragonal
- Space group: No. 119
- E_tot: -0.2248 hartree per atom

Cell lengths 4.7737, 4.7737, 4.7737 Å; angles 136.73, 136.73, 62.85 degrees
Positions (direct):
Ta 0.0000 0.0000 0.0000
Be 0.5000 0.5000 0.0000
Be 0.7500 0.2500 0.5000
As 0.2500 0.7500 0.5000

# 24
A plane-wave DFT calculation with PBE was carried out for crystalline TaBe2As at its relaxed geometry.

- Mass density: 8.215 g/cm³
- Crystal system: cubic
- Space group: No. 216
- E_tot: -0.2002 hartree per atom

Cell lengths 4.2780, 4.2780, 4.2780 Å; angles 60.00, 60.00, 60.00 degrees
Positions (direct):
Ta 0.0000 0.0000 0.0000
Be 0.2500 0.2500 0.2500
Be 0.5000 0.5000 0.5000
As 0.7500 0.7500 0.7500

# 25
A plane-wave DFT calculation with PBE was carried out for crystalline Ta2BeAs at its relaxed geometry.

- Mass density: 12.029 g/cm³
- Crystal system: tetragonal
- Space group: No. 99
- E_tot: -0.2915 hartree per atom
- Offset from the most stable computed form: 1.74 eV/f.u.

Cell lengths 3.0627, 3.0627, 6.5611 Å; angles 90.00, 90.00, 90.00 degrees
Positions (direct):
Ta 0.0000 0.0000 0.0000
Ta 0.5000 0.5000 0.3356
Be 0.5000 0.5000 0.7690
As 0.0000 0.0000 0.5875

# 26
A plane-wave DFT calculation with PBE was carried out for crystalline TaBeAs3 at its relaxed geometry.

- Mass density: 7.893 g/cm³
- Crystal system: cubic
- Space group: No. 221
- E_tot: -0.1886 hartree per atom
- Offset from the most stable computed form: 0.00 eV/f.u.

Cell lengths 4.4353, 4.4353, 4.4353 Å; angles 90.00, 90.00, 90.00 degrees
Positions (direct):
Ta 0.0000 0.0000 0.0000
Be 0.5000 0.5000 0.5000
As 0.0000 0.5000 0.5000
As 0.5000 0.0000 0.5000
As 0.5000 0.5000 0.0000

# 27
A plane-wave DFT calculation with PBE was carried out for crystalline Ta2BeAs at its relaxed geometry.

- Mass density: 11.942 g/cm³
- Crystal system: monoclinic
- Space group: No. 10
- E_tot: -0.2945 hartree per atom
- Offset from the most stable computed form: 1.41 eV/f.u.

Cell lengths 2.9919, 3.6562, 5.8479 Å; angles 90.00, 104.28, 90.00 degrees
Positions (direct):
Ta 0.0038 0.0000 0.2339
Ta 0.9962 0.0000 0.7661
Be 0.5000 0.5000 0.0000
As 0.5000 0.5000 0.5000

# 28
A plane-wave DFT calculation with PBE was carried out for crystalline TaBeAs3 at its relaxed geometry.

- Mass density: 5.569 g/cm³
- Crystal system: cubic
- Space group: No. 221
- E_tot: -0.1875 hartree per atom
- Offset from the most stable computed form: 0.15 eV/f.u.

Cell lengths 4.9820, 4.9820, 4.9820 Å; angles 90.00, 90.00, 90.00 degrees
Positions (direct):
Ta 0.0000 0.0000 0.0000
Be 0.5000 0.5000 0.5000
As 0.0000 0.0000 0.5000
As 0.0000 0.5000 0.0000
As 0.5000 0.0000 0.0000

# 29
A plane-wave DFT calculation with PBE was carried out for crystalline Ta4BeAs at its relaxed geometry.

- Mass density: 14.020 g/cm³
- Crystal system: tetragonal
- Space group: No. 124
- E_tot: -0.3529 hartree per atom
- Offset from the most stable computed form: 0.00 eV/f.u.

Cell lengths 6.0853, 6.0853, 5.1668 Å; angles 90.00, 90.00, 90.00 degrees
Positions (direct):
Ta 0.1467 0.3219 0.0000
Ta 0.1467 0.6781 0.5000
Ta 0.3219 0.1467 0.5000
Ta 0.3219 0.8533 0.0000
Ta 0.6781 0.1467 0.0000
Ta 0.6781 0.8533 0.5000
Ta 0.8533 0.3219 0.5000
Ta 0.8533 0.6781 0.0000
Be 0.0000 0.0000 0.2500
Be 0.0000 0.0000 0.7500
As 0.5000 0.5000 0.2500
As 0.5000 0.5000 0.7500